## CeZnNiRh (PBE)

Data for a geometry-optimized CeZnNiRh structure.

Uncorrected energy ... -21.95 eV for the cell shown
Total magnetization ... 0.00 μB/atom
DOS at the Fermi energy ... 4.4 states/eV/f.u.

abc: 4.5913 4.5913 4.5913
angles: 60.00 60.00 60.00
Sites, in units of the cell vectors:
Ce 0.5000 0.5000 0.5000
Ni 0.7500 0.7500 0.7500
Rh 0.2500 0.2500 0.2500
Zn 0.0000 0.0000 0.0000

***

## Ce2ZnNi2Rh5 (PBE)

Data for a geometry-optimized Ce2ZnNi2Rh5 structure.

Uncorrected energy ... -133.38 eV for the cell shown
Total magnetization ... 0.00 μB/atom
DOS at the Fermi energy ... 9.9 states/eV/f.u.

abc: 3.8810 9.1386 9.1386
angles: 90.00 90.00 90.00
Sites, in units of the cell vectors:
Ni 0.0000 0.6249 0.8751
Ni 0.0000 0.8751 0.3751
Zn 0.0000 0.5000 0.5000
Rh 0.5000 0.2974 0.5709
Rh 0.5000 0.2026 0.0709
Ni 0.0000 0.1249 0.6249
Rh 0.5000 0.7974 0.9291
Rh 0.5000 0.5709 0.7026
Rh 0.5000 0.5000 0.0000
Ce 0.0000 0.6747 0.1747
Rh 0.5000 0.7026 0.4291
Zn 0.0000 0.0000 0.0000
Ni 0.0000 0.3751 0.1249
Ce 0.0000 0.1747 0.3253
Ce 0.0000 0.8253 0.6747
Rh 0.5000 0.9291 0.2026
Rh 0.5000 0.0000 0.5000
Rh 0.5000 0.0709 0.7974
Ce 0.0000 0.3253 0.8253
Rh 0.5000 0.4291 0.2974

***

> The lowest DOS at the Fermi energy belongs to which entry?

CeZnNiRh

***

> DOS at the Fermi energy of number 1 (CeZnNiRh)?

4.4 states/eV/f.u.

***

> Which value of DOS at the Fermi energy does entry 2 give?

9.9 states/eV/f.u.